No. 1
## KVS2N (PBE)

Data for crystalline KVS2N at its relaxed geometry.

CIF file:
```
data_KVS2N
_chemical_formula_sum 'K1 V1 S2 N1'
_space_group_name_H-M_alt 'P 4/m m m'
_space_group_IT_number 123
_space_group_name_Hall '-P 4 2'
_cell_length_a 5.144
_cell_length_b 5.144
_cell_length_c 4.179
_cell_angle_alpha 90.00
_cell_angle_beta 90.00
_cell_angle_gamma 90.00
loop_
_atom_site_label
_atom_site_type_symbol
_atom_site_fract_x
_atom_site_fract_y
_atom_site_fract_z
_atom_site_occupancy
K1 K 0.000 0.000 0.000 1
V1 V 0.500 0.500 0.500 1
S1 S 0.000 0.500 0.000 1
N1 N 0.000 0.000 0.500 1
```

ΔE to the lowest computed polymorph in meV/atom: 2660



No. 2
## KWSN2 (PBE)

Data for crystalline KWSN2 at its relaxed geometry.

CIF file:
```
data_KWSN2
_chemical_formula_sum 'K1 W1 S1 N2'
_space_group_name_H-M_alt 'P 4/m m m'
_space_group_IT_number 123
_space_group_name_Hall '-P 4 2'
_cell_length_a 4.179
_cell_length_b 4.179
_cell_length_c 5.431
_cell_angle_alpha 90.00
_cell_angle_beta 90.00
_cell_angle_gamma 90.00
loop_
_atom_site_label
_atom_site_type_symbol
_atom_site_fract_x
_atom_site_fract_y
_atom_site_fract_z
_atom_site_occupancy
K1 K 0.000 0.000 0.000 1
W1 W 0.500 0.500 0.500 1
S1 S 0.000 0.000 0.500 1
N1 N 0.000 0.500 0.000 1
```

ΔE to the lowest computed polymorph in meV/atom: 3158



No. 3
## KWS2N (PBE)

Data for crystalline KWS2N at its relaxed geometry.

CIF file:
```
data_KWS2N
_chemical_formula_sum 'K1 W1 S2 N1'
_space_group_name_H-M_alt 'P 4/m m m'
_space_group_IT_number 123
_space_group_name_Hall '-P 4 2'
_cell_length_a 5.031
_cell_length_b 5.031
_cell_length_c 3.804
_cell_angle_alpha 90.00
_cell_angle_beta 90.00
_cell_angle_gamma 90.00
loop_
_atom_site_label
_atom_site_type_symbol
_atom_site_fract_x
_atom_site_fract_y
_atom_site_fract_z
_atom_site_occupancy
K1 K 0.000 0.000 0.000 1
W1 W 0.500 0.500 0.500 1
S1 S 0.000 0.500 0.000 1
N1 N 0.000 0.000 0.500 1
```

ΔE to the lowest computed polymorph in meV/atom: 3175



No. 4
## KWSN2 (PBE)

Data for crystalline KWSN2 at its relaxed geometry.

CIF file:
```
data_KWSN2
_chemical_formula_sum 'K1 W1 S1 N2'
_space_group_name_H-M_alt 'P 4/m m m'
_space_group_IT_number 123
_space_group_name_Hall '-P 4 2'
_cell_length_a 4.041
_cell_length_b 4.041
_cell_length_c 4.899
_cell_angle_alpha 90.00
_cell_angle_beta 90.00
_cell_angle_gamma 90.00
loop_
_atom_site_label
_atom_site_type_symbol
_atom_site_fract_x
_atom_site_fract_y
_atom_site_fract_z
_atom_site_occupancy
K1 K 0.000 0.000 0.000 1
W1 W 0.500 0.500 0.500 1
S1 S 0.500 0.500 0.000 1
N1 N 0.000 0.500 0.500 1
```

ΔE to the lowest computed polymorph in meV/atom: 0



No. 5
## KWS2N (PBE)

Data for crystalline KWS2N at its relaxed geometry.

CIF file:
```
data_KWS2N
_chemical_formula_sum 'K1 W1 S2 N1'
_space_group_name_H-M_alt 'P 4/m m m'
_space_group_IT_number 123
_space_group_name_Hall '-P 4 2'
_cell_length_a 4.885
_cell_length_b 4.885
_cell_length_c 3.913
_cell_angle_alpha 90.00
_cell_angle_beta 90.00
_cell_angle_gamma 90.00
loop_
_atom_site_label
_atom_site_type_symbol
_atom_site_fract_x
_atom_site_fract_y
_atom_site_fract_z
_atom_site_occupancy
K1 K 0.000 0.000 0.000 1
W1 W 0.500 0.500 0.500 1
S1 S 0.000 0.500 0.500 1
N1 N 0.500 0.500 0.000 1
```

ΔE to the lowest computed polymorph in meV/atom: 0



No. 6
## KYS2N (PBE)

Data for crystalline KYS2N at its relaxed geometry.

CIF file:
```
data_KYS2N
_chemical_formula_sum 'K1 Y1 S2 N1'
_space_group_name_H-M_alt 'P 4/m m m'
_space_group_IT_number 123
_space_group_name_Hall '-P 4 2'
_cell_length_a 5.357
_cell_length_b 5.357
_cell_length_c 4.735
_cell_angle_alpha 90.00
_cell_angle_beta 90.00
_cell_angle_gamma 90.00
loop_
_atom_site_label
_atom_site_type_symbol
_atom_site_fract_x
_atom_site_fract_y
_atom_site_fract_z
_atom_site_occupancy
K1 K 0.000 0.000 0.000 1
Y1 Y 0.500 0.500 0.500 1
S1 S 0.000 0.500 0.500 1
N1 N 0.500 0.500 0.000 1
```

ΔE to the lowest computed polymorph in meV/atom: 0



No. 7
## K2YSN (PBE)

Data for crystalline K2YSN at its relaxed geometry.

CIF file:
```
data_K2YSN
_chemical_formula_sum 'K2 Y1 S1 N1'
_space_group_name_H-M_alt 'P 4/m m m'
_space_group_IT_number 123
_space_group_name_Hall '-P 4 2'
_cell_length_a 5.613
_cell_length_b 5.613
_cell_length_c 5.224
_cell_angle_alpha 90.00
_cell_angle_beta 90.00
_cell_angle_gamma 90.00
loop_
_atom_site_label
_atom_site_type_symbol
_atom_site_fract_x
_atom_site_fract_y
_atom_site_fract_z
_atom_site_occupancy
K1 K 0.000 0.500 0.000 1
Y1 Y 0.000 0.000 0.500 1
S1 S 0.000 0.000 0.000 1
N1 N 0.500 0.500 0.500 1
```



No. 8
## KYSN2 (PBE)

Data for crystalline KYSN2 at its relaxed geometry.

CIF file:
```
data_KYSN2
_chemical_formula_sum 'K1 Y1 S1 N2'
_space_group_name_H-M_alt 'P 4/m m m'
_space_group_IT_number 123
_space_group_name_Hall '-P 4 2'
_cell_length_a 4.238
_cell_length_b 4.238
_cell_length_c 5.494
_cell_angle_alpha 90.00
_cell_angle_beta 90.00
_cell_angle_gamma 90.00
loop_
_atom_site_label
_atom_site_type_symbol
_atom_site_fract_x
_atom_site_fract_y
_atom_site_fract_z
_atom_site_occupancy
K1 K 0.000 0.000 0.000 1
Y1 Y 0.500 0.500 0.500 1
S1 S 0.000 0.000 0.500 1
N1 N 0.000 0.500 0.000 1
```

ΔE to the lowest computed polymorph in meV/atom: 1282



Number 1: E -0.1125 hartree per atom, formation energy without anion corrections 2.297 eV per atom, DOS(E_F) 11.32 states/eV per cell. Number 2: E -0.1424 hartree per atom, formation energy without anion corrections 3.090 eV per atom, DOS(E_F) 3.06 states/eV per cell. Number 3: E -0.1227 hartree per atom, formation energy without anion corrections 2.786 eV per atom, DOS(E_F) 6.83 states/eV per cell. Number 4: E -0.2585 hartree per atom, formation energy without anion corrections -0.068 eV per atom, DOS(E_F) 2.61 states/eV per cell. Number 5: E -0.2394 hartree per atom, formation energy without anion corrections -0.388 eV per atom, DOS(E_F) 3.29 states/eV per cell. Number 6: E -0.1948 hartree per atom, formation energy without anion corrections -0.471 eV per atom, DOS(E_F) 3.76 states/eV per cell. Number 7: E -0.1405 hartree per atom, formation energy without anion corrections 0.398 eV per atom, DOS(E_F) 5.59 states/eV per cell. Number 8: E -0.1561 hartree per atom, formation energy without anion corrections 1.420 eV per atom, DOS(E_F) 5.24 states/eV per cell.